Record 1
DFT (PBE-GGA) results for an optimized crystal structure of Hf3HgC.

Cell and atoms, written as POSCAR:
```
Hf3HgC
1.0
2.830 -1.634 0.000
2.830 1.634 0.000
-1.904 0.000 10.069
Hf Hg C
3 1 1
Cartesian
0.000 0.000 0.000
1.879 0.000 5.091
3.768 0.000 2.548
-0.013 0.000 7.601
-0.008 0.000 3.872
```

Results
- Energy relative to the elements: -0.44 eV/atom
- Space-group type: Cm, No. 8

***

Record 2
DFT (PBE-GGA) results for an optimized crystal structure of Tb2IrO6.

Cell and atoms, written as POSCAR:
```
Tb2IrO6
1.0
5.013 0.000 0.000
0.000 5.013 0.000
0.000 0.000 10.056
Tb Ir O
4 2 12
Cartesian
0.000 0.000 1.698
0.000 0.000 8.359
2.507 2.507 3.331
2.507 2.507 6.726
0.000 0.000 5.028
2.507 2.507 0.000
0.927 0.927 3.566
0.927 0.927 6.490
1.129 1.129 0.000
1.378 3.636 5.028
1.580 3.433 1.462
1.580 3.433 8.594
3.433 1.580 1.462
3.433 1.580 8.594
3.636 1.378 5.028
3.885 3.885 0.000
4.087 4.087 3.566
4.087 4.087 6.490
```

Results
- Space-group type: P4_2/mnm, No. 136
- Formation energy (no corrections): -2.190 eV per atom

***

Record 3
DFT (PBE-GGA) results for an optimized crystal structure of SiBiSbI2.

Cell and atoms, written as POSCAR:
```
SiBiSbI2
1.0
5.356 0.000 0.000
0.000 5.356 0.000
0.000 0.000 5.677
Si Bi Sb I
1 1 1 2
Cartesian
0.000 0.000 0.000
2.678 2.678 2.839
0.000 0.000 2.839
0.000 2.678 0.000
2.678 0.000 0.000
```

Results
- Space-group type: P4/mmm, No. 123
- Formation energy (no corrections): 0.438 eV per atom

***

Record 4
DFT (PBE-GGA) results for an optimized crystal structure of Tl2HgIr.

Cell and atoms, written as POSCAR:
```
Tl2HgIr
1.0
-3.110 3.110 7.510
3.110 -3.110 7.510
3.110 3.110 -7.510
Tl Hg Ir
4 2 2
Cartesian
4.665 0.971 -1.878
0.971 1.555 1.878
-1.555 2.139 5.633
2.139 1.555 9.388
3.110 0.000 3.755
0.000 0.000 7.510
0.000 0.000 0.000
0.000 3.110 3.755
```

Results
- Energy relative to the elements: 0.61 eV/atom
- Space-group type: I-42d, No. 122

***

Record 5
DFT (PBE-GGA) results for an optimized crystal structure of NaSr2Sb4Pd3.

Cell and atoms, written as POSCAR:
```
NaSr2Sb4Pd3
1.0
4.692 0.000 0.000
0.000 4.692 0.000
0.000 0.000 11.462
Na Sr Sb Pd
1 2 4 3
Cartesian
0.000 0.000 0.000
0.000 2.346 8.583
2.346 0.000 2.879
0.000 0.000 5.731
0.000 2.346 1.675
2.346 0.000 9.787
2.346 2.346 5.731
0.000 2.346 4.336
2.346 0.000 7.126
2.346 2.346 0.000
```

Results
- Space-group type: P-4m2, No. 115
- Formation energy (no corrections): -0.682 eV per atom

***

Record 6
DFT (PBE-GGA) results for an optimized crystal structure of NaAl2IrRu.

Cell and atoms, written as POSCAR:
```
NaAl2IrRu
1.0
4.736 0.000 0.000
0.000 4.736 0.000
0.000 0.000 4.880
Na Al Ir Ru
1 2 1 1
Cartesian
0.000 0.000 0.000
0.000 2.368 2.440
2.368 0.000 2.440
2.368 2.368 2.440
2.368 2.368 0.000
```

Results
- Energy relative to the elements: 0.40 eV/atom
- Space-group type: P4/mmm, No. 123

***

What did the first record say?
DFT (PBE-GGA) results for an optimized crystal structure of Hf3HgC.

Cell and atoms, written as POSCAR:
```
Hf3HgC
1.0
2.830 -1.634 0.000
2.830 1.634 0.000
-1.904 0.000 10.069
Hf Hg C
3 1 1
Cartesian
0.000 0.000 0.000
1.879 0.000 5.091
3.768 0.000 2.548
-0.013 0.000 7.601
-0.008 0.000 3.872
```

Results
- Energy relative to the elements: -0.44 eV/atom
- Space-group type: Cm, No. 8